Entry from Alexandria via LeMat-Bulk: a relaxed structure of BaMo2F (PBE with a Hubbard U).

Computed properties:
As for the density of states at the Fermi level: 4.49 states/eV per cell. The final energy is -0.1519 Ha/atom. The calculation puts the offset from the most stable computed form at 0 meV/atom.

a = 7.179 Å, b = 7.179 Å, c = 7.179 Å
α = 120.21°, β = 120.21°, γ = 89.63°
Positions (direct):
Ba 0.375 0.625 0.750
Ba 0.625 0.375 0.250
Mo 0.000 0.000 0.000
Mo 0.000 0.000 0.500
Mo 0.000 0.500 0.000
Mo 0.500 0.000 0.500
F 0.125 0.875 0.250
F 0.875 0.125 0.750